1.
# PBE-GGA Be2GaPt2, relaxed
data_Be2GaPt2
_chemical_formula_sum 'Be4 Ga2 Pt4'
_cell_length_a 3.881
_cell_length_b 3.881
_cell_length_c 9.450
_cell_angle_alpha 90.00
_cell_angle_beta 90.00
_cell_angle_gamma 90.00
_symmetry_space_group_name_H-M 'I 4/m m m'
_symmetry_Int_Tables_number 139
_symmetry_space_group_name_Hall '-I 4 2'
loop_
_atom_site_label
_atom_site_type_symbol
_atom_site_fract_x
_atom_site_fract_y
_atom_site_fract_z
Be1 Be 0.000 0.000 0.119
Ga1 Ga 0.000 0.000 0.500
Pt1 Pt 0.000 0.500 0.250
# V	14.24	Å³/atom
# distance to the lowest polymorph of the same formula	323	meV per atom



2.
# PBE-GGA ZrTlAg3Te4, relaxed
data_ZrTlAg3Te4
_chemical_formula_sum 'Zr1 Tl1 Ag3 Te4'
_cell_length_a 6.808
_cell_length_b 6.808
_cell_length_c 6.808
_cell_angle_alpha 90.00
_cell_angle_beta 90.00
_cell_angle_gamma 90.00
_symmetry_space_group_name_H-M 'P -4 3 m'
_symmetry_Int_Tables_number 215
_symmetry_space_group_name_Hall 'P -4 2 3'
loop_
_atom_site_label
_atom_site_type_symbol
_atom_site_fract_x
_atom_site_fract_y
_atom_site_fract_z
Zr1 Zr 0.000 0.000 0.000
Tl1 Tl 0.500 0.500 0.500
Ag1 Ag 0.000 0.000 0.500
Te1 Te 0.233 0.233 0.767
# V	35.06	Å³/atom
# distance to the lowest polymorph of the same formula	0	meV per atom



3.
# PBE-GGA LaPr2Ga2Cu4, relaxed
data_LaPr2Ga2Cu4
_chemical_formula_sum 'La2 Pr4 Ga4 Cu8'
_cell_length_a 10.478
_cell_length_b 4.276
_cell_length_c 8.444
_cell_angle_alpha 90.00
_cell_angle_beta 99.54
_cell_angle_gamma 90.00
_symmetry_space_group_name_H-M 'C 1 2/m 1'
_symmetry_Int_Tables_number 12
loop_
_symmetry_equiv_pos_as_xyz
'x,y,z'
'-x,-y,-z'
'-x,y,-z'
'x,-y,z'
'x+1/2,y+1/2,z'
'-x+1/2,-y+1/2,-z'
'-x+1/2,y+1/2,-z'
'x+1/2,-y+1/2,z'
loop_
_atom_site_label
_atom_site_type_symbol
_atom_site_fract_x
_atom_site_fract_y
_atom_site_fract_z
La1 La 0.000 0.000 0.000
Pr1 Pr 0.126 0.500 0.378
Ga1 Ga 0.179 0.500 0.774
Cu1 Cu 0.082 0.000 0.639
Cu2 Cu 0.232 0.500 0.077
# V	20.73	Å³/atom



4.
# PBE-GGA TmTePO6, relaxed
data_TmTePO6
_chemical_formula_sum 'Tm2 Te2 P2 O12'
_cell_length_a 5.1936
_cell_length_b 5.1936
_cell_length_c 9.4389
_cell_angle_alpha 90.00
_cell_angle_beta 90.00
_cell_angle_gamma 120.00
_symmetry_space_group_name_H-M 'P -3 1 c'
_symmetry_Int_Tables_number 163
_symmetry_space_group_name_Hall '-P 3 2c'
loop_
_atom_site_label
_atom_site_type_symbol
_atom_site_fract_x
_atom_site_fract_y
_atom_site_fract_z
Tm1 Tm 0.0000 0.0000 0.0000
Te1 Te 0.3333 0.6667 0.2500
P1 P 0.3333 0.6667 0.7500
O1 O 0.0154 0.3629 0.1355
# V	12.25	Å³/atom



Number 1: energy -4.765 eV/atom. Number 2: energy -3.932 eV/atom. Number 3: energy -4.269 eV/atom. Number 4: energy -6.385 eV/atom.